! ZrPdSeBr2, relaxed, DFT PBEsol; values from VASP
! E_tot: -22.03 eV for the cell shown
! Offset from the most stable computed form: 348 meV/atom
! Total moment: 1.7 μB per cell
! Symmetry: P4/mmm, No. 123
&SYSTEM
  ibrav = 0, nat = 5, ntyp = 4
/
ATOMIC_SPECIES
Zr 91.22 Zr.upf
Pd 106.42 Pd.upf
Se 78.96 Se.upf
Br 79.90 Br.upf
ATOMIC_POSITIONS angstrom
Zr 0.000 0.000 0.000
Pd 2.432 2.432 2.519
Se 2.432 2.432 0.000
Br 0.000 2.432 2.519
Br 2.432 0.000 2.519
CELL_PARAMETERS angstrom
4.865 0.000 0.000
0.000 4.865 0.000
0.000 0.000 5.039

---

! SnTe2PdBr, relaxed, DFT PBEsol; values from VASP
! E_tot: -14.07 eV for the cell shown
! Total moment: 0.0 μB per cell
! Symmetry: P4/mmm, No. 123
&SYSTEM
  ibrav = 0, nat = 5, ntyp = 4
/
ATOMIC_SPECIES
Sn 118.71 Sn.upf
Te 127.60 Te.upf
Pd 106.42 Pd.upf
Br 79.90 Br.upf
ATOMIC_POSITIONS angstrom
Sn 0.000 0.000 0.000
Te 0.000 2.696 2.710
Te 2.696 0.000 2.710
Pd 2.696 2.696 0.000
Br 0.000 0.000 2.710
CELL_PARAMETERS angstrom
5.392 0.000 0.000
0.000 5.392 0.000
0.000 0.000 5.420

---

! SnPdW2Br, relaxed, DFT PBEsol; values from VASP
! E_tot: -29.76 eV for the cell shown
! Total moment: 2.3 μB per cell
! Symmetry: P4/mmm, No. 123
&SYSTEM
  ibrav = 0, nat = 5, ntyp = 4
/
ATOMIC_SPECIES
Sn 118.71 Sn.upf
Pd 106.42 Pd.upf
W 183.84 W.upf
Br 79.90 Br.upf
ATOMIC_POSITIONS angstrom
Sn 0.000 0.000 0.000
Pd 2.433 2.433 2.390
W 0.000 2.433 2.390
W 2.433 0.000 2.390
Br 2.433 2.433 0.000
CELL_PARAMETERS angstrom
4.867 0.000 0.000
0.000 4.867 0.000
0.000 0.000 4.780

---

! Te2PdBr, relaxed, DFT PBEsol; values from VASP
! E_tot: -16.10 eV for the cell shown
! Total moment: 0.0 μB per cell
! Symmetry: R-3m, No. 166
&SYSTEM
  ibrav = 0, nat = 4, ntyp = 3
/
ATOMIC_SPECIES
Te 127.60 Te.upf
Pd 106.42 Pd.upf
Br 79.90 Br.upf
ATOMIC_POSITIONS angstrom
Te 0.000 0.000 2.810
Te 0.000 0.000 21.838
Pd 0.000 0.000 12.324
Br 0.000 0.000 0.000
CELL_PARAMETERS angstrom
2.041 1.178 8.216
-2.041 1.178 8.216
0.000 -2.356 8.216

---

! Tl3PdBr, relaxed, DFT PBEsol; values from VASP
! E_tot: -17.34 eV for the cell shown
! Total moment: 0.0 μB per cell
! Symmetry: Pm-3m, No. 221
&SYSTEM
  ibrav = 0, nat = 5, ntyp = 3
/
ATOMIC_SPECIES
Tl 204.38 Tl.upf
Pd 106.42 Pd.upf
Br 79.90 Br.upf
ATOMIC_POSITIONS angstrom
Tl 0.000 0.000 2.632
Tl 0.000 2.632 0.000
Tl 2.632 0.000 0.000
Pd 0.000 0.000 0.000
Br 2.632 2.632 2.632
CELL_PARAMETERS angstrom
5.264 0.000 0.000
0.000 5.264 0.000
0.000 0.000 5.264

---

! Tl2Pd2Br, relaxed, DFT PBEsol; values from VASP
! E_tot: -19.54 eV for the cell shown
! Total moment: 0.0 μB per cell
! Symmetry: I4/mmm, No. 139
&SYSTEM
  ibrav = 0, nat = 5, ntyp = 3
/
ATOMIC_SPECIES
Tl 204.38 Tl.upf
Pd 106.42 Pd.upf
Br 79.90 Br.upf
ATOMIC_POSITIONS angstrom
Tl 0.000 0.000 1.903
Tl 0.000 0.000 14.183
Pd 1.890 0.000 4.021
Pd 0.000 1.890 4.021
Br 0.000 0.000 8.043
CELL_PARAMETERS angstrom
-1.890 1.890 8.043
1.890 -1.890 8.043
1.890 1.890 -8.043

---

! YPdBr3, relaxed, DFT PBEsol; values from VASP
! E_tot: -21.72 eV for the cell shown
! Total moment: 0.2 μB per cell
! Symmetry: Pm-3m, No. 221
&SYSTEM
  ibrav = 0, nat = 5, ntyp = 3
/
ATOMIC_SPECIES
Y 88.91 Y.upf
Pd 106.42 Pd.upf
Br 79.90 Br.upf
ATOMIC_POSITIONS angstrom
Y 0.000 0.000 0.000
Pd 2.713 2.713 2.713
Br 0.000 0.000 2.713
Br 0.000 2.713 0.000
Br 2.713 0.000 0.000
CELL_PARAMETERS angstrom
5.425 0.000 0.000
0.000 5.425 0.000
0.000 0.000 5.425

---

! ZrPdBr3, relaxed, DFT PBEsol; values from VASP
! E_tot: -19.90 eV for the cell shown
! Total moment: 2.3 μB per cell
! Symmetry: Pm-3m, No. 221
&SYSTEM
  ibrav = 0, nat = 5, ntyp = 3
/
ATOMIC_SPECIES
Zr 91.22 Zr.upf
Pd 106.42 Pd.upf
Br 79.90 Br.upf
ATOMIC_POSITIONS angstrom
Zr 0.000 0.000 0.000
Pd 2.503 2.503 2.503
Br 0.000 2.503 2.503
Br 2.503 0.000 2.503
Br 2.503 2.503 0.000
CELL_PARAMETERS angstrom
5.006 0.000 0.000
0.000 5.006 0.000
0.000 0.000 5.006

---

Calculated density of states at the Fermi level (states/eV/cell), listed in the same order as above: 5.7, 4.2, 6.7, 1.4, 0.9, 3.2, 11.7, 6.6
Calculated uncorrected formation energy (meV/atom), listed in the same order as above: 121, 1015, 1988, -304, -324, -99, -667, 151